Record 1
Below is a geometry-optimized YSc2Cl structure, with properties calculated at the GGA-PBE level.

Summary:
electronic total energy: -5.702 eV/atom
M_tot: 0.000 μB/atom

Cell: 3.4954 3.4954 30.9524 Å, 90.00 90.00 120.00°
Space group R-3m (No. 166, hexagonal axes)
One atom of each set of equivalent atoms:
Y (0.0000, 0.0000, 0.0000) (multiplicity 3)
Sc (0.0000, 0.0000, 0.4202) (multiplicity 6)
Cl (0.0000, 0.0000, 0.5000) (multiplicity 3)

---

Record 2
Below is a geometry-optimized Y2ScCl structure, with properties calculated at the GGA-PBE level.

Summary:
electronic total energy: -5.717 eV/atom
M_tot: 0.000 μB/atom

Cell: 5.598 5.598 3.567 Å, 90.00 90.00 90.00°
Space group P-4m2 (No. 115)
One atom of each set of equivalent atoms:
Y (0.000, 0.500, 0.043) (multiplicity 2)
Sc (0.000, 0.000, 0.500) (multiplicity 1)
Cl (0.500, 0.500, 0.000) (multiplicity 1)